a | A plane-wave DFT calculation with PBE was carried out for a relaxed PmPuHgRu crystal.

a b c (Å): 3.381 3.381 8.243
angles (deg): 90.00 90.00 90.00
Space group P4mm (No. 99)
Unique sites:
Pm  0.000  0.000  0.000
Pu  0.000  0.000  0.575
Hg  0.500  0.500  0.289
Ru  0.500  0.500  0.775

b | A plane-wave DFT calculation with PBE was carried out for a relaxed PmPuHgRu crystal.

a b c (Å): 7.218 7.218 7.218
angles (deg): 90.00 90.00 90.00
Space group F-43m (No. 216)
Unique sites:
Pm  0.000  0.000  0.000
Pu  0.000  0.000  0.500
Hg  0.250  0.250  0.250
Ru  0.250  0.250  0.750

Tell me which of them is the most stable. Sure, it is a.

a | A plane-wave DFT calculation with PBE was carried out for a relaxed Pm6HgRh5 crystal.

a b c (Å): 5.015 7.207 7.930
angles (deg): 90.00 108.35 90.00
Space group P2/m (No. 10)
Unique sites:
Pm  0.000  0.236  0.000
Pm  0.328  0.246  0.657
Hg  0.500  0.500  0.000
Rh  0.164  0.500  0.329
Rh  0.167  0.000  0.336
Rh  0.500  0.000  0.000

b | A plane-wave DFT calculation with PBE was carried out for a relaxed Pm6HgRh5 crystal.

a b c (Å): 7.429 11.264 7.287
angles (deg): 90.00 104.59 90.00
Space group C2/m (No. 12)
Unique sites:
Pm  0.197  0.000  0.217
Pm  0.219  0.180  0.717
Hg  0.000  0.500  0.000
Rh  0.000  0.000  0.500
Rh  0.000  0.200  0.000
Rh  0.000  0.374  0.500

Tell me which of them is the most stable. Sure, it is a.

a | A plane-wave DFT calculation with PBE was carried out for a relaxed Pm4HgRh crystal.

a b c (Å): 13.910 13.910 13.910
angles (deg): 90.00 90.00 90.00
Space group F-43m (No. 216)
Unique sites:
Pm  0.000  0.000  0.187
Pm  0.060  0.250  0.250
Pm  0.101  0.101  0.601
Hg  0.166  0.166  0.834
Rh  0.108  0.108  0.392

b | A plane-wave DFT calculation with PBE was carried out for a relaxed Pm4HgRh crystal.

a b c (Å): 8.940 13.950 6.174
angles (deg): 90.00 115.89 90.00
Space group C2/c (No. 15)
Unique sites:
Pm  0.115  0.184  0.077
Pm  0.221  0.430  0.333
Hg  0.000  0.377  0.750
Rh  0.000  0.002  0.250

Tell me which of them is the most stable. Sure, it is a.

a | A plane-wave DFT calculation with PBE was carried out for a relaxed Pm2HgRh crystal.

a b c (Å): 4.1245 4.1245 22.9506
angles (deg): 90.00 90.00 120.00
Space group R3m (No. 160, hexagonal axes)
Unique sites:
Pm  0.0000  0.0000  0.0000
Pm  0.0000  0.0000  0.1990
Hg  0.0000  0.0000  0.7658
Rh  0.0000  0.0000  0.6010

b | A plane-wave DFT calculation with PBE was carried out for a relaxed Pm2HgRh crystal.

a b c (Å): 7.329 7.329 7.329
angles (deg): 90.00 90.00 90.00
Space group Fm-3m (No. 225)
Unique sites:
Pm  0.250  0.250  0.250
Hg  0.000  0.000  0.000
Rh  0.000  0.000  0.500

c | A plane-wave DFT calculation with PBE was carried out for a relaxed Pm2HgRh crystal.

a b c (Å): 3.591 3.591 7.685
angles (deg): 90.00 90.00 90.00
Space group P4/mmm (No. 123)
Unique sites:
Pm  0.000  0.000  0.221
Hg  0.500  0.500  0.500
Rh  0.500  0.500  0.000

Tell me which of them is the most stable. Sure, it is c.

a | A plane-wave DFT calculation with PBE was carried out for a relaxed PmHgRh crystal.

a b c (Å): 4.231 4.231 7.554
angles (deg): 90.00 90.00 90.00
Space group P4/nmm (No. 129, origin choice 2)
Unique sites:
Pm  0.250  0.250  0.151
Hg  0.250  0.750  0.500
Rh  0.250  0.250  0.774

b | A plane-wave DFT calculation with PBE was carried out for a relaxed PmHgRh crystal.

a b c (Å): 3.924 17.426 4.050
angles (deg): 90.00 90.00 90.00
Space group Cmcm (No. 63)
Unique sites:
Pm  0.000  0.098  0.250
Hg  0.000  0.292  0.250
Rh  0.000  0.452  0.250

Tell me which of them is the most stable. Sure, it is b.

a | A plane-wave DFT calculation with PBE was carried out for a relaxed Pm3HgRh3 crystal.

a b c (Å): 4.441 10.411 13.741
angles (deg): 90.00 90.00 90.00
Space group Cmcm (No. 63)
Unique sites:
Pm  0.000  0.027  0.250
Pm  0.000  0.307  0.104
Hg  0.000  0.000  0.000
Rh  0.000  0.241  0.750
Rh  0.000  0.399  0.597

b | A plane-wave DFT calculation with PBE was carried out for a relaxed Pm3HgRh3 crystal.

a b c (Å): 9.0012 9.0012 4.6503
angles (deg): 90.00 90.00 120.00
Space group P6_3/m (No. 176)
Unique sites:
Pm  0.0748  0.3989  0.2500
Hg  0.3333  0.6667  0.7500
Rh  0.0333  0.1938  0.7500

Tell me which of them is the most stable. Sure, it is a.

a | A plane-wave DFT calculation with PBE was carried out for a relaxed Pm5Hg2Rh crystal.

a b c (Å): 6.750 6.753 6.754
angles (deg): 94.67 115.88 118.81
Space group P1 (No. 1)
Unique sites:
Pm  0.000  0.000  0.000
Pm  0.000  0.404  0.404
Pm  0.135  0.582  0.957
Pm  0.510  0.404  0.915
Pm  0.511  0.000  0.511
Hg  0.542  0.489  0.458
Hg  0.969  0.916  0.456
Rh  0.593  0.040  0.958

b | A plane-wave DFT calculation with PBE was carried out for a relaxed Pm5Hg2Rh crystal.

a b c (Å): 7.714 12.126 4.920
angles (deg): 90.00 90.00 90.00
Space group Pbam (No. 55)
Unique sites:
Pm  0.000  0.000  0.000
Pm  0.143  0.295  0.000
Pm  0.179  0.581  0.500
Hg  0.077  0.837  0.500
Rh  0.000  0.500  0.000

Tell me which of them is the most stable. Sure, it is b.

a | A plane-wave DFT calculation with PBE was carried out for a relaxed Pm5HgRh2 crystal.

a b c (Å): 7.968 7.968 13.641
angles (deg): 90.00 90.00 90.00
Space group I4/mcm (No. 140)
Unique sites:
Pm  0.000  0.000  0.000
Pm  0.162  0.338  0.135
Hg  0.000  0.000  0.250
Rh  0.137  0.363  0.500

b | A plane-wave DFT calculation with PBE was carried out for a relaxed Pm5HgRh2 crystal.

a b c (Å): 5.807 12.840 14.395
angles (deg): 90.00 90.00 90.00
Space group Cmcm (No. 63)
Unique sites:
Pm  0.000  0.053  0.113
Pm  0.000  0.220  0.750
Pm  0.000  0.343  0.049
Hg  0.000  0.239  0.250
Rh  0.000  0.153  0.557

Tell me which of them is the most stable. Sure, it is a.

a | A plane-wave DFT calculation with PBE was carried out for a relaxed PmHgRh2 crystal.

a b c (Å): 3.474 3.474 6.419
angles (deg): 90.00 90.00 90.00
Space group P4/mmm (No. 123)
Unique sites:
Pm  0.000  0.000  0.000
Hg  0.000  0.000  0.500
Rh  0.500  0.500  0.264

b | A plane-wave DFT calculation with PBE was carried out for a relaxed PmHgRh2 crystal.

a b c (Å): 6.745 6.745 6.745
angles (deg): 90.00 90.00 90.00
Space group Fm-3m (No. 225)
Unique sites:
Pm  0.000  0.000  0.000
Hg  0.000  0.000  0.500
Rh  0.250  0.250  0.250

c | A plane-wave DFT calculation with PBE was carried out for a relaxed PmHgRh2 crystal.

a b c (Å): 4.452 4.452 3.815
angles (deg): 90.00 90.00 90.00
Space group P4/mmm (No. 123)
Unique sites:
Pm  0.000  0.000  0.000
Hg  0.500  0.500  0.000
Rh  0.000  0.500  0.500

Tell me which of them is the most stable. Sure, it is c.

a | A plane-wave DFT calculation with PBE was carried out for a relaxed PmThHgRh crystal.

a b c (Å): 4.0968 4.0968 23.3799
angles (deg): 90.00 90.00 120.00
Space group R3m (No. 160, hexagonal axes)
Unique sites:
Pm  0.0000  0.0000  0.0000
Th  0.0000  0.0000  0.8027
Hg  0.0000  0.0000  0.2354
Rh  0.0000  0.0000  0.4059

b | A plane-wave DFT calculation with PBE was carried out for a relaxed PmThHgRh crystal.

a b c (Å): 7.368 7.368 7.368
angles (deg): 90.00 90.00 90.00
Space group F-43m (No. 216)
Unique sites:
Pm  0.000  0.000  0.000
Th  0.000  0.000  0.500
Hg  0.250  0.250  0.750
Rh  0.250  0.250  0.250

Tell me which of them is the most stable. Sure, it is a.